A crystal of KCaHfPd2 relaxed with PBEsol. Source: Alexandria via LeMat-Bulk, functional SCAN.

The space group is P4/mmm (No. 123) and the conventional cell measures 4.9219, 4.9219 and 5.5545 Å, with angles of 90.00, 90.00 and 90.00 degrees. The distinct sites, in fractional coordinates, are K at (0.0000, 0.0000, 0.0000), Ca at (0.5000, 0.5000, 0.0000), Hf at (0.0000, 0.0000, 0.5000) and Pd at (0.0000, 0.5000, 0.5000).

As for the crystal system: tetragonal. The value obtained for the energy relative to the elements is 0.418 eV per atom. The volume is 135 Å³ per cell.